No. 1
This record from Alexandria via LeMat-Bulk describes a relaxed structure of TaBeSn3. The functional is PBE.

Lattice parameters (Å, degrees): 5.3891 5.3891 5.3891 90.00 90.00 90.00
Closest atoms and distances in Å follow each position.
Positions (direct):
Ta 0.0000 0.0000 0.0000  6 Sn 2.69
Be 0.5000 0.5000 0.5000  12 Sn 3.81
Sn 0.0000 0.0000 0.5000  2 Ta 2.69
Sn 0.0000 0.5000 0.0000  2 Ta 2.69
Sn 0.5000 0.0000 0.0000  2 Ta 2.69

- formation enthalpy at 0 K (eV/atom) = 0.899
- M_tot (Bohr magnetons per cell) = 0.0
- DOS(E_F) (states/eV/atom) = 0.561
- SG = Pm-3m
- ρ (g/cm3) = 5.79
- excess energy over the best structure of this formula in the dataset (meV/atom) = 0

---

No. 2
This record from Alexandria via LeMat-Bulk describes a relaxed structure of TaBe3Sn. The functional is PBE.

Lattice parameters (Å, degrees): 4.5415 4.5415 4.5415 90.00 90.00 90.00
Closest atoms and distances in Å follow each position.
Positions (direct):
Ta 0.0000 0.0000 0.0000  6 Be 2.27
Be 0.0000 0.0000 0.5000  2 Ta 2.27
Be 0.0000 0.5000 0.0000  2 Ta 2.27
Be 0.5000 0.0000 0.0000  2 Ta 2.27
Sn 0.5000 0.5000 0.5000  12 Be 3.21

- formation enthalpy at 0 K (eV/atom) = 1.410
- M_tot (Bohr magnetons per cell) = 0.0
- DOS(E_F) (states/eV/atom) = 1.057
- SG = Pm-3m
- ρ (g/cm3) = 5.79
- excess energy over the best structure of this formula in the dataset (meV/atom) = 0

---

No. 3
This record from Alexandria via LeMat-Bulk describes a relaxed structure of Ta2BeTcSn. The functional is PBE.

Lattice parameters (Å, degrees): 4.4472 4.4472 4.2927 90.00 90.00 90.00
Closest atoms and distances in Å follow each position.
Positions (direct):
Ta 0.0000 0.5000 0.0000  2 Be 2.22
Ta 0.5000 0.0000 0.0000  2 Be 2.22
Be 0.0000 0.0000 0.0000  2 Sn 2.15, 4 Ta 2.22
Tc 0.5000 0.5000 0.5000  8 Ta 3.09, 4 Sn 3.14
Sn 0.0000 0.0000 0.5000  2 Be 2.15

- formation enthalpy at 0 K (eV/atom) = 0.718
- M_tot (Bohr magnetons per cell) = 1.0
- DOS(E_F) (states/eV/atom) = 0.829
- SG = P4/mmm
- ρ (g/cm3) = 11.49

---

No. 4
This record from Alexandria via LeMat-Bulk describes a relaxed structure of BeTc3Sn. The functional is PBE.

Lattice parameters (Å, degrees): 4.2356 4.2356 4.2356 90.00 90.00 90.00
Closest atoms and distances in Å follow each position.
Positions (direct):
Be 0.0000 0.0000 0.0000  6 Tc 2.12
Tc 0.0000 0.0000 0.5000  2 Be 2.12
Tc 0.0000 0.5000 0.0000  2 Be 2.12
Tc 0.5000 0.0000 0.0000  2 Be 2.12
Sn 0.5000 0.5000 0.5000  12 Tc 2.99

- formation enthalpy at 0 K (eV/atom) = 0.517
- M_tot (Bohr magnetons per cell) = 2.2
- DOS(E_F) (states/eV/atom) = 1.238
- SG = Pm-3m
- ρ (g/cm3) = 9.22
- excess energy over the best structure of this formula in the dataset (meV/atom) = 0

---

Which of these has the highest formation enthalpy at 0 K?
TaBe3Sn